This record from the Alexandria database describes an optimized crystal structure of NpBeNiO6. The functional is PBE with a Hubbard U.

Computed properties:
Density of states at the Fermi level: 4.23 states/eV/f.u.
Total energy: -0.53306 Ry per atom

Cell: 4.979 4.979 8.856 Å, 90.00 90.00 120.00°
Each line ends with the local moment (μB).
Fractional coordinates of all 18 atoms:
1 Np 0.333 0.667 0.250  0.09
2 Np 0.667 0.333 0.750  0.09
3 Be 0.667 0.333 0.250  0.01
4 Be 0.333 0.667 0.750  0.01
5 Ni 0.000 0.000 0.000  1.71
6 Ni 0.000 0.000 0.500  1.71
7 O 0.668 0.645 0.134  -0.11
8 O 0.978 0.332 0.134  -0.11
9 O 0.332 0.978 0.634  -0.11
10 O 0.022 0.668 0.866  -0.11
11 O 0.355 0.332 0.366  -0.11
12 O 0.978 0.645 0.366  -0.11
13 O 0.645 0.978 0.866  -0.11
14 O 0.668 0.022 0.366  -0.11
15 O 0.022 0.355 0.634  -0.11
16 O 0.355 0.022 0.134  -0.11
17 O 0.645 0.668 0.634  -0.11
18 O 0.332 0.355 0.866  -0.11